# 1
Pu2UMnN4 | Alexandria | PBE-GGA | optimized geometry; space-group type = No. 63; DFT total energy = -11.32 eV/atom; formation energy without anion corrections = -1.021 eV/atom; total moment = 7.46 μB per formula unit; density of states at the Fermi level = 1.568 states/eV per atom
1.0
3.294 0.000 0.000
-1.647 5.625 0.000
0.000 0.000 11.501
N Mn Pu U
8 2 4 2
Direct
0.000 0.000 0.000 N
0.719 0.439 0.871 N
0.719 0.439 0.629 N
0.541 0.083 0.250 N
0.281 0.561 0.129 N
0.281 0.561 0.371 N
0.000 0.000 0.500 N
0.459 0.917 0.750 N
0.848 0.695 0.750 Mn
0.152 0.305 0.250 Mn
0.368 0.736 0.945 Pu
0.632 0.264 0.445 Pu
0.368 0.736 0.555 Pu
0.632 0.264 0.055 Pu
0.110 0.220 0.750 U
0.890 0.780 0.250 U



# 2
BaB2TeSe8 | Alexandria | PBE-GGA | optimized geometry; space-group type = No. 12; DFT total energy = -4.12 eV/atom; formation energy without anion corrections = -0.261 eV/atom; total moment = 0.00 μB per formula unit; density of states at the Fermi level = 0.338 states/eV per atom
1.0
6.367 0.530 0.979
3.408 5.404 0.979
2.151 1.306 10.797
Se Te Ba B
8 1 1 2
Direct
0.660 0.660 0.359 Se
0.227 0.710 0.231 Se
0.745 0.745 0.014 Se
0.710 0.227 0.231 Se
0.340 0.340 0.641 Se
0.255 0.255 0.986 Se
0.773 0.290 0.769 Se
0.290 0.773 0.769 Se
0.000 0.000 0.000 Te
0.000 0.000 0.500 Ba
0.386 0.386 0.796 B
0.614 0.614 0.204 B



# 3
La2ScNbTl | Alexandria | PBE-GGA | optimized geometry; space-group type = No. 123; DFT total energy = -5.20 eV/atom; total moment = 0.00 μB per formula unit; density of states at the Fermi level = 1.396 states/eV per atom
1.0
5.406 0.000 0.000
0.000 5.637 0.000
0.000 0.000 5.406
Tl Nb La Sc
1 1 2 1
Direct
0.000 0.500 0.000 Tl
0.000 0.000 0.000 Nb
0.500 0.000 0.000 La
0.000 0.000 0.500 La
0.500 0.500 0.500 Sc



# 4
HfReOF2 | Alexandria | PBE-GGA | optimized geometry; space-group type = No. 123; DFT total energy = -7.38 eV/atom; formation energy without anion corrections = -1.156 eV/atom; total moment = 5.00 μB per formula unit; density of states at the Fermi level = 0.538 states/eV per atom
1.0
4.372 0.000 0.000
0.000 4.372 0.000
0.000 0.000 4.046
F O Re Hf
2 1 1 1
Direct
0.000 0.500 0.000 F
0.500 0.000 0.000 F
0.000 0.000 0.500 O
0.500 0.500 0.500 Re
0.000 0.000 0.000 Hf



# 5
TcPIr | Alexandria | PBE-GGA | optimized geometry; space-group type = No. 156; DFT total energy = -8.32 eV/atom; total moment = 0.00 μB per formula unit; density of states at the Fermi level = 1.269 states/eV per atom
1.0
2.030 -3.516 0.000
2.030 3.516 0.000
0.000 0.000 2.937
P Ir Tc
1 1 1
Direct
0.333 0.667 0.323 P
0.000 0.000 0.096 Ir
0.667 0.333 0.581 Tc



# 6
ZrNi2Pt4 | Alexandria | PBE-GGA | optimized geometry; space-group type = No. 2; DFT total energy = -6.63 eV/atom; total moment = 0.00 μB per formula unit; density of states at the Fermi level = 0.889 states/eV per atom
1.0
5.064 -1.958 -0.444
-2.299 5.939 -3.090
0.677 -3.419 6.412
Ni Zr Pt
2 1 4
Direct
0.323 0.317 0.650 Ni
0.677 0.683 0.350 Ni
0.000 0.000 0.000 Zr
0.734 0.122 0.412 Pt
0.000 0.500 0.000 Pt
0.500 0.000 0.000 Pt
0.266 0.878 0.588 Pt